A plane-wave DFT calculation with PBE-GGA was carried out for a relaxed structure of TaSn2Hg.

Properties
The energy relative to the elements is 2.42 eV per formula unit.

Cell lengths 8.119, 8.119, 6.008 Å; angles 90.00, 90.00, 90.00 degrees
Space group I-42d (No. 122)
One atom of each set of equivalent atoms:
Ta 0.000 0.000 0.000 x4
Sn 0.227 0.250 0.125 x8
Hg 0.000 0.000 0.500 x4

***

A plane-wave DFT calculation with PBE-GGA was carried out for a relaxed structure of Ac5LaPb6.

Properties
For the energy above the most stable polymorph in this dataset, the calculation gives 0 meV per atom. The energy relative to the elements is -6.03 eV per formula unit.

Cell lengths 6.077, 7.656, 9.881 Å; angles 67.22, 81.88, 89.94 degrees
Space group P-1 (No. 2)
One atom of each set of equivalent atoms:
Ac 0.000 0.000 0.000 x1
Ac 0.311 0.330 0.342 x2
Ac 0.318 0.833 0.337 x2
La 0.000 0.500 0.000 x1
Pb 0.184 0.415 0.680 x2
Pb 0.184 0.905 0.679 x2
Pb 0.500 0.260 0.000 x2

***

A plane-wave DFT calculation with PBE-GGA was carried out for a relaxed structure of AsIr2Au.

Properties
The energy relative to the elements is 0.98 eV per formula unit.

Cell lengths 2.854, 2.854, 8.263 Å; angles 90.00, 90.00, 90.00 degrees
Space group P4mm (No. 99)
One atom of each set of equivalent atoms:
As 0.000 0.000 0.000 x1
Ir 0.000 0.000 0.571 x1
Ir 0.500 0.500 0.797 x1
Au 0.500 0.500 0.323 x1

***

A plane-wave DFT calculation with PBE-GGA was carried out for a relaxed structure of BaNaMgPb2.

Properties
The energy relative to the elements is -1.58 eV per formula unit.

Cell lengths 5.023, 5.023, 13.321 Å; angles 90.00, 90.00, 90.00 degrees
Space group I-4m2 (No. 119)
One atom of each set of equivalent atoms:
Ba 0.000 0.000 0.000 x2
Na 0.000 0.500 0.750 x2
Mg 0.000 0.500 0.250 x2
Pb 0.000 0.000 0.386 x4

***

A plane-wave DFT calculation with PBE-GGA was carried out for a relaxed structure of La3PmGe4.

Properties
The energy relative to the elements is -5.53 eV per formula unit.

Cell lengths 4.227, 6.608, 16.733 Å; angles 90.00, 90.00, 90.00 degrees
Space group Immm (No. 71)
One atom of each set of equivalent atoms:
La 0.000 0.000 0.000 x2
La 0.000 0.500 0.198 x4
Pm 0.000 0.000 0.500 x2
Ge 0.000 0.310 0.371 x8

***

| no. | total magnetization (μB per formula unit) |
| --- | --- |
| 1 | 0.000 |
| 2 | 0.000 |
| 3 | 0.000 |
| 4 | 0.000 |
| 5 | 0.000 |